The following is a DFT calculation (PBE-GGA) of crystalline RbTe2OsI at its relaxed geometry.

Unit cell a=6.7024 b=6.7024 c=6.6050 alpha=90.00 beta=90.00 gamma=90.00
With the nearest neighbours (Å) after each atom.
Element x y z (fractional)
I1 0.0000 0.0000 0.5000  2 Rb 3.30
Te1 0.0000 0.5000 0.0000  2 Rb 3.35
Te2 0.5000 0.0000 0.0000  2 Rb 3.35
Os1 0.5000 0.5000 0.5000  8 Te 4.70, 4 I 4.74
Rb1 0.0000 0.0000 0.0000  2 I 3.30, 4 Te 3.35

## Properties
Density of states at the Fermi level   7.7 states/eV/f.u.
E above lowest polymorph   1847.2 meV per atom
V   59.34 Å³/atom
SG   P4/mmm
Mass density   3.68 g cm⁻³
Energy relative to the elements, uncorrected   9.58 eV per formula unit
DFT total energy   -10.450 eV per cell
Crystal system   tetragonal

***

The following is a DFT calculation (PBE-GGA) of crystalline ScMoRu at its relaxed geometry.

Unit cell a=5.5375 b=5.5375 c=5.5375 alpha=147.19 beta=147.19 gamma=47.08
With the nearest neighbours (Å) after each atom.
Element x y z (fractional)
Mo1 0.9876 0.9876 0.0000  4 Ru 2.66, 4 Sc 2.89
Ru1 0.3420 0.3420 0.0000  4 Mo 2.66, 4 Sc 2.82
Sc1 0.6704 0.6704 0.0000  4 Ru 2.82, 4 Mo 2.89, 4 Sc 3.13

## Properties
Density of states at the Fermi level   1.6 states/eV/f.u.
E above lowest polymorph   0.0 meV per atom
DFT formation energy   -0.19 eV/atom
V   16.55 Å³/atom
SG   I4mm
Mass density   8.09 g cm⁻³
DFT total energy   -27.010 eV per cell
Crystal system   tetragonal

***

The following is a DFT calculation (PBE-GGA) of crystalline CoHg2As at its relaxed geometry.

Unit cell a=6.5964 b=6.5964 c=4.6513 alpha=69.36 beta=69.36 gamma=25.51
With the nearest neighbours (Å) after each atom.
Element x y z (fractional)
As1 0.5819 0.5819 0.4183  2 Co 2.32
Co1 0.2326 0.2326 0.2672  2 As 2.32
Hg1 0.9328 0.9328 0.0672  2 Co 2.81, 2 Hg 2.91
Hg2 0.7526 0.7526 0.7473  4 Co 2.75-2.76, 2 Hg 2.91

## Properties
Density of states at the Fermi level   3.0 states/eV/f.u.
DFT formation energy   0.18 eV/atom
V   20.32 Å³/atom
SG   Imm2
Mass density   10.93 g cm⁻³
DFT total energy   -11.636 eV per cell
Crystal system   orthorhombic

***

The following is a DFT calculation (PBE-GGA) of crystalline CaHg3 at its relaxed geometry.

Unit cell a=6.6815 b=6.6815 c=5.2416 alpha=90.00 beta=90.00 gamma=120.08
With the nearest neighbours (Å) after each atom.
Element x y z (fractional)
Ca1 0.6673 0.3327 0.2500  12 Hg 3.27-3.34
Ca2 0.3327 0.6673 0.7500  12 Hg 3.27-3.34
Hg1 0.6715 0.8352 0.2500  8 Hg 3.23-3.39, 4 Ca 3.27-3.34
Hg2 0.1640 0.8360 0.2500  8 Hg 3.24-3.39, 4 Ca 3.27-3.34
Hg3 0.1648 0.3285 0.2500  8 Hg 3.23-3.39, 4 Ca 3.27-3.34
Hg4 0.3285 0.1648 0.7500  8 Hg 3.23-3.39, 4 Ca 3.27-3.34
Hg5 0.8360 0.1640 0.7500  8 Hg 3.24-3.39, 4 Ca 3.27-3.34
Hg6 0.8352 0.6715 0.7500  8 Hg 3.23-3.39, 4 Ca 3.27-3.34

## Properties
Density of states at the Fermi level   1.4 states/eV/f.u.
DFT formation energy   -0.40 eV/atom
V   25.31 Å³/atom
SG   Cmcm
Mass density   10.53 g cm⁻³
DFT total energy   -8.992 eV per cell
Crystal system   orthorhombic

***

The following is a DFT calculation (PBE-GGA) of crystalline Tb8Er3Tm3 at its relaxed geometry.

Unit cell a=5.5643 b=9.5423 c=9.5423 alpha=101.67 beta=73.04 gamma=73.04
With the nearest neighbours (Å) after each atom.
Element x y z (fractional)
Tb1 0.6582 0.1191 0.5644  6 Tb 3.22-3.50, 2 Er 3.55-3.56
Tb2 0.3418 0.8809 0.4356  6 Tb 3.22-3.50, 2 Er 3.55-3.56
Tb3 0.6582 0.5644 0.1191  6 Tb 3.22-3.50, 2 Er 3.55-3.56
Tb4 0.3418 0.4356 0.8809  6 Tb 3.22-3.50, 2 Er 3.55-3.56
Tb5 0.8399 0.7635 0.5566  5 Tb 3.06-3.42
Tb6 0.1601 0.2365 0.4434  5 Tb 3.06-3.42
Tb7 0.8399 0.5566 0.7635  5 Tb 3.06-3.42
Tb8 0.1601 0.4434 0.2365  5 Tb 3.06-3.42
Er1 0.5000 0.0000 0.0000  4 Tm 3.51, 4 Er 3.86
Er2 0.0000 0.8192 0.1808  2 Tm 3.43, 8 Tb 3.55-3.71
Er3 0.0000 0.1808 0.8192  2 Tm 3.43, 8 Tb 3.55-3.71
Tm1 0.5000 0.5000 0.5000  2 Tm 3.20
Tm2 0.7996 0.2007 0.2007  1 Tm 3.20, 4 Er 3.43-3.51, 4 Tb 3.51
Tm3 0.2004 0.7993 0.7993  1 Tm 3.20, 4 Er 3.43-3.51, 4 Tb 3.51

## Properties
Density of states at the Fermi level   20.0 states/eV/f.u.
E above lowest polymorph   0.0 meV per atom
DFT formation energy   0.12 eV/atom
V   31.43 Å³/atom
SG   Immm
Mass density   8.60 g cm⁻³
DFT total energy   -62.524 eV per cell
Crystal system   orthorhombic

***

The following is a DFT calculation (PBE-GGA) of crystalline BaDy3Pd at its relaxed geometry.

Unit cell a=5.6105 b=5.6105 c=5.6105 alpha=90.00 beta=90.00 gamma=90.00
With the nearest neighbours (Å) after each atom.
Element x y z (fractional)
Ba1 0.5000 0.5000 0.5000  12 Dy 3.97
Pd1 0.0000 0.0000 0.0000  6 Dy 2.81
Dy1 0.0000 0.5000 0.0000  2 Pd 2.81
Dy2 0.0000 0.0000 0.5000  2 Pd 2.81
Dy3 0.5000 0.0000 0.0000  2 Pd 2.81

## Properties
Density of states at the Fermi level   8.1 states/eV/f.u.
DFT formation energy   -0.18 eV/atom
V   35.32 Å³/atom
SG   Pm-3m
Mass density   6.88 g cm⁻³
DFT total energy   -21.806 eV per cell
Crystal system   cubic

***

The following is a DFT calculation (PBE-GGA) of crystalline CeBeAu at its relaxed geometry.

Unit cell a=3.7010 b=4.3337 c=4.3337 alpha=120.00 beta=90.00 gamma=90.00
With the nearest neighbours (Å) after each atom.
Element x y z (fractional)
Be1 0.1665 0.3333 0.6667  3 Au 2.50
Au1 0.1667 0.0000 0.0000  3 Be 2.50
Ce1 0.6668 0.6667 0.3333  6 Be 3.11, 6 Au 3.11

## Properties
Density of states at the Fermi level   5.3 states/eV/f.u.
E above lowest polymorph   7.6 meV per atom
DFT formation energy   -0.36 eV/atom
V   20.07 Å³/atom
SG   P-6m2
Mass density   9.55 g cm⁻³
DFT total energy   -14.024 eV per cell
Crystal system   hexagonal

***

The following is a DFT calculation (PBE-GGA) of crystalline PrDySc2 at its relaxed geometry.

Unit cell a=3.4657 b=3.4657 c=11.2101 alpha=81.11 beta=81.11 gamma=60.00
With the nearest neighbours (Å) after each atom.
Element x y z (fractional)
Pr1 0.0000 0.0000 0.0000  6 Sc 3.44, 6 Pr 3.47
Sc1 0.7513 0.7513 0.7462  3 Dy 3.37, 3 Pr 3.44, 6 Sc 3.47
Sc2 0.2487 0.2487 0.2538  3 Dy 3.37, 3 Pr 3.44, 6 Sc 3.47
Dy1 0.5000 0.5000 0.5000  6 Sc 3.37, 6 Dy 3.47

## Properties
Density of states at the Fermi level   5.1 states/eV/f.u.
E above lowest polymorph   10.8 meV per atom
DFT formation energy   0.07 eV/atom
V   28.68 Å³/atom
SG   R-3m
Mass density   5.69 g cm⁻³
DFT total energy   -21.770 eV per cell
Crystal system   trigonal

***

The following is a DFT calculation (PBE-GGA) of crystalline LiTi2Co at its relaxed geometry.

Unit cell a=4.2632 b=4.2632 c=4.2632 alpha=60.00 beta=60.00 gamma=60.00
With the nearest neighbours (Å) after each atom.
Element x y z (fractional)
Li1 0.0000 0.0000 0.0000  8 Ti 2.61
Co1 0.5000 0.5000 0.5000  8 Ti 2.61
Ti1 0.2500 0.2500 0.2500  4 Co 2.61, 4 Li 2.61
Ti2 0.7500 0.7500 0.7500  4 Co 2.61, 4 Li 2.61

## Properties
Density of states at the Fermi level   2.7 states/eV/f.u.
E above lowest polymorph   0.0 meV per atom
DFT formation energy   -0.05 eV/atom
V   13.70 Å³/atom
SG   Fm-3m
Mass density   4.90 g cm⁻³
DFT total energy   -25.020 eV per cell
Crystal system   cubic

***

The following is a DFT calculation (PBE-GGA) of crystalline ZrPdPt at its relaxed geometry.

Unit cell a=4.6376 b=5.5948 c=4.6353 alpha=90.00 beta=120.02 gamma=90.00
With the nearest neighbours (Å) after each atom.
Element x y z (fractional)
Zr1 0.6666 0.7500 0.8332  5 Pd 2.68-2.80
Zr2 0.3334 0.2500 0.1668  5 Pd 2.68-2.80
Pd1 0.3331 0.7500 0.1662  5 Zr 2.68-2.80
Pd2 0.6669 0.2500 0.8338  5 Zr 2.68-2.80
Pt1 0.0000 0.5000 0.5000  2 Pt 2.80, 6 Pd 3.02, 6 Zr 3.02
Pt2 0.0000 0.0000 0.5000  2 Pt 2.80, 6 Pd 3.02, 6 Zr 3.02

## Properties
Density of states at the Fermi level   1.5 states/eV/f.u.
E above lowest polymorph   68.8 meV per atom
DFT formation energy   -0.85 eV/atom
V   17.36 Å³/atom
SG   P6_3/mmc
Mass density   12.52 g cm⁻³
DFT total energy   -44.690 eV per cell
Crystal system   hexagonal

***

The following is a DFT calculation (PBE-GGA) of crystalline TmPS at its relaxed geometry.

Unit cell a=4.5891 b=4.5891 c=6.6704 alpha=83.37 beta=83.37 gamma=87.01
With the nearest neighbours (Å) after each atom.
Element x y z (fractional)
Tm1 0.7711 0.7711 0.7946  4 S 2.64-2.69
Tm2 0.2289 0.2289 0.2054  4 S 2.64-2.69
P1 0.3334 0.6666 0.5000  1 P 2.11
P2 0.6666 0.3334 0.5000  1 P 2.11
S1 0.2434 0.7566 0.0000  4 Tm 2.64-2.69
S2 0.7566 0.2434 0.0000  4 Tm 2.64-2.69

## Properties
Density of states at the Fermi level   1.1 states/eV/f.u.
V   23.08 Å³/atom
SG   C2/m
Mass density   5.56 g cm⁻³
Energy relative to the elements, uncorrected   -3.42 eV per formula unit
DFT total energy   -34.859 eV per cell
Crystal system   monoclinic

***

The following is a DFT calculation (PBE-GGA) of crystalline Li2ZnRe at its relaxed geometry.

Unit cell a=4.5047 b=4.5047 c=4.5047 alpha=127.88 beta=127.88 gamma=76.81
With the nearest neighbours (Å) after each atom.
Element x y z (fractional)
Li1 0.0000 0.0000 0.0000  4 Li 2.65, 4 Zn 2.65, 4 Re 2.80
Li2 0.2500 0.7500 0.5000  4 Re 2.65, 4 Li 2.65, 4 Zn 2.80
Re1 0.5000 0.5000 0.0000  4 Zn 2.65, 8 Li 2.65-2.80
Zn1 0.7500 0.2500 0.5000  4 Re 2.65, 8 Li 2.65-2.80

## Properties
Density of states at the Fermi level   2.5 states/eV/f.u.
DFT formation energy   0.53 eV/atom
V   13.82 Å³/atom
SG   I-4m2
Mass density   7.97 g cm⁻³
DFT total energy   -15.415 eV per cell
Crystal system   tetragonal